one.
Here is an optimized crystal structure of MoHOsW2 from the Alexandria database. Energies are from PBE.

Unit cell a=4.021 b=4.021 c=3.999 alpha=90.00 beta=90.00 gamma=90.00
Fractional coordinates of all 5 atoms:
Mo 0.000 0.000 0.000
H 0.000 0.000 0.500
Os 0.500 0.500 0.000
W 0.000 0.500 0.500
W 0.500 0.000 0.500

Calculated values
The total magnetization comes out at 0.0 μB/f.u.

---

two.
Here is an optimized crystal structure of MoHOsW2 from the Alexandria database. Energies are from PBE.

Unit cell a=4.050 b=4.050 c=3.947 alpha=90.00 beta=90.00 gamma=90.00
Fractional coordinates of all 5 atoms:
Mo 0.000 0.000 0.000
H 0.500 0.500 0.500
Os 0.500 0.500 0.000
W 0.000 0.500 0.500
W 0.500 0.000 0.500

Calculated values
The total magnetization comes out at 0.0 μB/f.u.

---

We find one to be the most stable, with the next structure 0.025 eV/atom higher.

---

one.
Here is an optimized crystal structure of MoPH3 from the Alexandria database. Energies are from PBE.

Unit cell a=3.521 b=3.521 c=3.521 alpha=90.00 beta=90.00 gamma=90.00
Fractional coordinates of all 5 atoms:
Mo 0.000 0.000 0.000
P 0.500 0.500 0.500
H 0.000 0.000 0.500
H 0.000 0.500 0.000
H 0.500 0.000 0.000

Calculated values
The total magnetization comes out at 0.1 μB/f.u.

---

two.
Here is an optimized crystal structure of MoPH3 from the Alexandria database. Energies are from PBE.

Unit cell a=3.350 b=3.350 c=3.350 alpha=90.00 beta=90.00 gamma=90.00
Fractional coordinates of all 5 atoms:
Mo 0.000 0.000 0.000
P 0.500 0.500 0.500
H 0.000 0.500 0.500
H 0.500 0.000 0.500
H 0.500 0.500 0.000

Calculated values
The total magnetization comes out at 0.0 μB/f.u.

---

We find one to be the most stable, with the next structure 0.301 eV/atom higher.

---

one.
Here is an optimized crystal structure of MoH2Pb from the Alexandria database. Energies are from PBE.

Unit cell a=4.147 b=4.147 c=4.147 alpha=60.00 beta=60.00 gamma=60.00
Fractional coordinates of all 4 atoms:
Mo 0.000 0.000 0.000
H 0.250 0.250 0.250
H 0.750 0.750 0.750
Pb 0.500 0.500 0.500

Calculated values
The total magnetization comes out at 2.0 μB/f.u.

---

two.
Here is an optimized crystal structure of MoH2Pb from the Alexandria database. Energies are from PBE.

Unit cell a=5.062 b=5.062 c=5.062 alpha=108.24 beta=108.24 gamma=111.96
Fractional coordinates of all 8 atoms:
Mo 0.000 0.000 0.000
Mo 0.750 0.250 0.500
H 0.017 0.625 0.892
H 0.375 0.267 0.392
H 0.733 0.125 0.108
H 0.875 0.983 0.608
Pb 0.250 0.750 0.500
Pb 0.500 0.500 0.000

Calculated values
The total magnetization comes out at 0.0 μB/f.u.

---

We find two to be the most stable, with the next structure 0.819 eV/atom higher.

---

one.
Here is an optimized crystal structure of Mo2HPb from the Alexandria database. Energies are from PBE.

Unit cell a=6.196 b=6.196 c=6.196 alpha=131.38 beta=131.38 gamma=71.21
Fractional coordinates of all 8 atoms:
Mo 0.000 0.000 0.000
Mo 0.000 0.000 0.500
Mo 0.000 0.500 0.000
Mo 0.500 0.000 0.500
H 0.125 0.875 0.250
H 0.875 0.125 0.750
Pb 0.375 0.625 0.750
Pb 0.625 0.375 0.250

Calculated values
The total magnetization comes out at 0.0 μB/f.u.

---

two.
Here is an optimized crystal structure of Mo2HPb from the Alexandria database. Energies are from PBE.

Unit cell a=4.491 b=4.491 c=4.491 alpha=60.00 beta=60.00 gamma=60.00
Fractional coordinates of all 4 atoms:
Mo 0.250 0.250 0.250
Mo 0.750 0.750 0.750
H 0.000 0.000 0.000
Pb 0.500 0.500 0.500

Calculated values
The total magnetization comes out at 0.0 μB/f.u.

---

We find one to be the most stable, with the next structure 0.722 eV/atom higher.

---

one.
Here is an optimized crystal structure of MoHPd3 from the Alexandria database. Energies are from PBE.

Unit cell a=4.031 b=4.031 c=4.031 alpha=90.00 beta=90.00 gamma=90.00
Fractional coordinates of all 5 atoms:
Mo 0.000 0.000 0.000
H 0.500 0.500 0.500
Pd 0.000 0.500 0.500
Pd 0.500 0.000 0.500
Pd 0.500 0.500 0.000

Calculated values
The total magnetization comes out at 3.1 μB/f.u.

---

two.
Here is an optimized crystal structure of MoHPd3 from the Alexandria database. Energies are from PBE.

Unit cell a=4.828 b=4.828 c=4.828 alpha=90.00 beta=90.00 gamma=90.00
Fractional coordinates of all 5 atoms:
Mo 0.000 0.000 0.000
H 0.500 0.500 0.500
Pd 0.000 0.000 0.500
Pd 0.000 0.500 0.000
Pd 0.500 0.000 0.000

Calculated values
The total magnetization comes out at 0.9 μB/f.u.

---

We find one to be the most stable, with the next structure 1.471 eV/atom higher.

---

one.
Here is an optimized crystal structure of MoH3Pd from the Alexandria database. Energies are from PBE.

Unit cell a=3.443 b=3.443 c=3.443 alpha=90.00 beta=90.00 gamma=90.00
Fractional coordinates of all 5 atoms:
Mo 0.000 0.000 0.000
H 0.000 0.500 0.500
H 0.500 0.000 0.500
H 0.500 0.500 0.000
Pd 0.500 0.500 0.500

Calculated values
The total magnetization comes out at 0.0 μB/f.u.

---

two.
Here is an optimized crystal structure of MoH3Pd from the Alexandria database. Energies are from PBE.

Unit cell a=3.493 b=3.493 c=3.493 alpha=90.00 beta=90.00 gamma=90.00
Fractional coordinates of all 5 atoms:
Mo 0.000 0.000 0.000
H 0.000 0.000 0.500
H 0.000 0.500 0.000
H 0.500 0.000 0.000
Pd 0.500 0.500 0.500

Calculated values
The total magnetization comes out at 0.0 μB/f.u.

---

We find two to be the most stable, with the next structure 0.038 eV/atom higher.

---

one.
Here is an optimized crystal structure of MoH2Pd from the Alexandria database. Energies are from PBE.

Unit cell a=3.780 b=3.780 c=3.780 alpha=60.00 beta=60.00 gamma=60.00
Fractional coordinates of all 4 atoms:
Mo 0.000 0.000 0.000
H 0.250 0.250 0.250
H 0.750 0.750 0.750
Pd 0.500 0.500 0.500

Calculated values
The total magnetization comes out at 0.6 μB/f.u.

---

two.
Here is an optimized crystal structure of MoH2Pd from the Alexandria database. Energies are from PBE.

Unit cell a=5.461 b=5.461 c=5.461 alpha=31.06 beta=31.06 gamma=31.06
Fractional coordinates of all 4 atoms:
Mo 0.000 0.000 0.000
H 0.388 0.388 0.388
H 0.612 0.612 0.612
Pd 0.500 0.500 0.500

Calculated values
The total magnetization comes out at 0.0 μB/f.u.

---

three.
Here is an optimized crystal structure of MoH2Pd from the Alexandria database. Energies are from PBE.

Unit cell a=5.187 b=5.187 c=5.187 alpha=131.78 beta=131.78 gamma=70.58
Fractional coordinates of all 8 atoms:
Mo 0.000 0.000 0.000
Mo 0.750 0.250 0.500
H 0.130 0.625 0.005
H 0.375 0.380 0.505
H 0.620 0.125 0.995
H 0.875 0.870 0.495
Pd 0.250 0.750 0.500
Pd 0.500 0.500 0.000

Calculated values
The total magnetization comes out at 0.0 μB/f.u.

---

four.
Here is an optimized crystal structure of MoH2Pd from the Alexandria database. Energies are from PBE.

Unit cell a=5.382 b=5.382 c=5.382 alpha=31.12 beta=31.12 gamma=31.12
Fractional coordinates of all 4 atoms:
Mo 0.000 0.000 0.000
H 0.398 0.398 0.398
H 0.600 0.600 0.600
Pd 0.822 0.822 0.822

Calculated values
The total magnetization comes out at 0.0 μB/f.u.

---

We find four to be the most stable, with the next structure 0.043 eV/atom higher.

---

one.
Here is an optimized crystal structure of Mo2HPd from the Alexandria database. Energies are from PBE.

Unit cell a=4.260 b=4.260 c=4.260 alpha=60.00 beta=60.00 gamma=60.00
Fractional coordinates of all 4 atoms:
Mo 0.250 0.250 0.250
Mo 0.750 0.750 0.750
H 0.000 0.000 0.000
Pd 0.500 0.500 0.500

Calculated values
The total magnetization comes out at 0.0 μB/f.u.

---

two.
Here is an optimized crystal structure of Mo2HPd from the Alexandria database. Energies are from PBE.

Unit cell a=5.123 b=5.123 c=5.123 alpha=104.98 beta=104.98 gamma=118.89
Fractional coordinates of all 8 atoms:
Mo 0.030 0.625 0.905
Mo 0.375 0.280 0.405
Mo 0.720 0.125 0.095
Mo 0.875 0.970 0.595
H 0.000 0.000 0.000
H 0.750 0.250 0.500
Pd 0.250 0.750 0.500
Pd 0.500 0.500 0.000

Calculated values
The total magnetization comes out at 0.0 μB/f.u.

---

We find two to be the most stable, with the next structure 0.535 eV/atom higher.

---

one.
Here is an optimized crystal structure of Mo2HPd from the Alexandria database. Energies are from PBE.

Unit cell a=7.783 b=7.783 c=7.783 alpha=20.79 beta=20.79 gamma=20.79
Fractional coordinates of all 4 atoms:
Mo 0.114 0.114 0.114
Mo 0.886 0.886 0.886
H 0.500 0.500 0.500
Pd 0.000 0.000 0.000

Calculated values
The total magnetization comes out at 0.0 μB/f.u.

---

two.
Here is an optimized crystal structure of Mo2HPd from the Alexandria database. Energies are from PBE.

Unit cell a=7.261 b=7.261 c=7.261 alpha=22.40 beta=22.40 gamma=22.40
Fractional coordinates of all 4 atoms:
Mo 0.000 0.000 0.000
Mo 0.214 0.214 0.214
H 0.608 0.608 0.608
Pd 0.440 0.440 0.440

Calculated values
The total magnetization comes out at 0.0 μB/f.u.

---

We find two to be the most stable, with the next structure 0.307 eV/atom higher.

---

one.
Here is an optimized crystal structure of Mo2HPdRh from the Alexandria database. Energies are from PBE.

Unit cell a=3.929 b=3.929 c=4.067 alpha=90.00 beta=90.00 gamma=90.00
Fractional coordinates of all 5 atoms:
Mo 0.000 0.500 0.000
Mo 0.500 0.000 0.000
H 0.000 0.000 0.000
Pd 0.000 0.000 0.500
Rh 0.500 0.500 0.500

Calculated values
The total magnetization comes out at 0.0 μB/f.u.

---

two.
Here is an optimized crystal structure of Mo2HPdRh from the Alexandria database. Energies are from PBE.

Unit cell a=3.942 b=3.942 c=4.036 alpha=90.00 beta=90.00 gamma=90.00
Fractional coordinates of all 5 atoms:
Mo 0.000 0.500 0.000
Mo 0.500 0.000 0.000
H 0.000 0.000 0.000
Pd 0.500 0.500 0.500
Rh 0.000 0.000 0.500

Calculated values
The total magnetization comes out at 0.0 μB/f.u.

---

We find two to be the most stable, with the next structure 0.018 eV/atom higher.

---

one.
Here is an optimized crystal structure of Mo2HPdRu from the Alexandria database. Energies are from PBE.

Unit cell a=3.968 b=3.968 c=3.958 alpha=90.00 beta=90.00 gamma=90.00
Fractional coordinates of all 5 atoms:
Mo 0.000 0.500 0.000
Mo 0.500 0.000 0.000
H 0.000 0.000 0.000
Pd 0.500 0.500 0.500
Ru 0.000 0.000 0.500

Calculated values
The total magnetization comes out at 0.0 μB/f.u.

---

two.
Here is an optimized crystal structure of Mo2HPdRu from the Alexandria database. Energies are from PBE.

Unit cell a=3.959 b=3.959 c=3.982 alpha=90.00 beta=90.00 gamma=90.00
Fractional coordinates of all 5 atoms:
Mo 0.000 0.500 0.000
Mo 0.500 0.000 0.000
H 0.000 0.000 0.000
Pd 0.000 0.000 0.500
Ru 0.500 0.500 0.500

Calculated values
The total magnetization comes out at 0.0 μB/f.u.

---

three.
Here is an optimized crystal structure of Mo2HPdRu from the Alexandria database. Energies are from PBE.

Unit cell a=4.725 b=4.725 c=4.770 alpha=90.00 beta=90.00 gamma=90.00
Fractional coordinates of all 5 atoms:
Mo 0.000 0.500 0.000
Mo 0.500 0.000 0.000
H 0.000 0.000 0.500
Pd 0.500 0.500 0.000
Ru 0.500 0.500 0.500

Calculated values
The total magnetization comes out at 0.0 μB/f.u.

---

We find one to be the most stable, with the next structure 0.023 eV/atom higher.

---

one.
Here is an optimized crystal structure of TaMo2HPd from the Alexandria database. Energies are from PBE.

Unit cell a=3.983 b=3.983 c=4.205 alpha=90.00 beta=90.00 gamma=90.00
Fractional coordinates of all 5 atoms:
Ta 0.000 0.000 0.000
Mo 0.000 0.500 0.500
Mo 0.500 0.000 0.500
H 0.000 0.000 0.500
Pd 0.500 0.500 0.000

Calculated values
The total magnetization comes out at 0.0 μB/f.u.

---

two.
Here is an optimized crystal structure of TaMo2HPd from the Alexandria database. Energies are from PBE.

Unit cell a=3.987 b=3.987 c=4.199 alpha=90.00 beta=90.00 gamma=90.00
Fractional coordinates of all 5 atoms:
Ta 0.000 0.000 0.000
Mo 0.000 0.500 0.500
Mo 0.500 0.000 0.500
H 0.500 0.500 0.500
Pd 0.500 0.500 0.000

Calculated values
The total magnetization comes out at 0.0 μB/f.u.

---

We find one to be the most stable, with the next structure 0.013 eV/atom higher.